# 1
## GaP2SBr (PBE-GGA)

Data for GaP2SBr after structural relaxation.

As for the polymorph energy (0 for the lowest one): 0.000 eV per atom. For the uncorrected formation energy, the calculation gives 0.845 eV per atom. The value obtained for the calculated volume is 21.9 Å³ per atom. The calculation puts the uncorrected energy at -3.08 eV/atom. For the density of states at the Fermi level, the calculation gives 4.10 states/eV/f.u.

The structure belongs to space group P4/mmm (No. 123); the cell edges are 4.8873, 4.8873 and 4.5789 Å and the angles 90.00°, 90.00° and 90.00°. The asymmetric unit holds Ga at (0.0000, 0.0000, 0.0000), P at (0.0000, 0.5000, 0.0000), S at (0.0000, 0.0000, 0.5000) and Br at (0.5000, 0.5000, 0.5000).

***

# 2
## BaTaCu2 (PBE-GGA)

Data for BaTaCu2 after structural relaxation.

As for the polymorph energy (0 for the lowest one): 0.007 eV per atom. The value obtained for the calculated volume is 24.9 Å³ per atom. The calculation puts the uncorrected energy at -5.15 eV/atom. Its formation energy is 0.34 eV/atom. For the density of states at the Fermi level, the calculation gives 3.05 states/eV/f.u.

The structure belongs to space group R-3m (No. 166, hexagonal axes); the cell edges are 4.4010, 4.4010 and 17.8310 Å and the angles 90.00°, 90.00° and 120.00°. The asymmetric unit holds Ba at (0.0000, 0.0000, 0.0000), Ta at (0.0000, 0.0000, 0.5000) and Cu at (0.0000, 0.0000, 0.1862).

***

# 3
## SiGeI2O (PBE-GGA)

Data for SiGeI2O after structural relaxation.

As for the polymorph energy (0 for the lowest one): 0.341 eV per atom. For the uncorrected formation energy, the calculation gives 0.129 eV per atom. The value obtained for the calculated volume is 25.4 Å³ per atom. The calculation puts the uncorrected energy at -3.49 eV/atom. For the density of states at the Fermi level, the calculation gives 2.13 states/eV/f.u.

The structure belongs to space group P4/mmm (No. 123); the cell edges are 5.8296, 5.8296 and 3.7443 Å and the angles 90.00°, 90.00° and 90.00°. The asymmetric unit holds Si at (0.0000, 0.0000, 0.0000), Ge at (0.5000, 0.5000, 0.5000), I at (0.0000, 0.5000, 0.5000) and O at (0.5000, 0.5000, 0.0000).

***

# 4
## Sm2Tm5Te4 (PBE-GGA)

Data for Sm2Tm5Te4 after structural relaxation.

For the uncorrected formation energy, the calculation gives -0.475 eV per atom. The value obtained for the calculated volume is 34.0 Å³ per atom. The calculation puts the uncorrected energy at -4.51 eV/atom. For the density of states at the Fermi level, the calculation gives 10.44 states/eV/f.u.

The structure belongs to space group C2/m (No. 12); the cell edges are 31.1029, 3.8935 and 6.2252 Å and the angles 90.00°, 97.51° and 90.00°. The asymmetric unit holds Sm at (0.0809, 0.0000, 0.3028), Tm at (0.0000, 0.5000, 0.0000), Tm at (0.1494, 0.0000, 0.8598), Tm at (0.1921, 0.0000, 0.3918), Te at (0.0516, 0.0000, 0.7671) and Te at (0.2202, 0.5000, 0.7582).

***

# 5
## TiTeOF2 (PBE-GGA)

Data for TiTeOF2 after structural relaxation.

As for the polymorph energy (0 for the lowest one): 0.000 eV per atom. For the uncorrected formation energy, the calculation gives -1.753 eV per atom. The value obtained for the calculated volume is 14.6 Å³ per atom. The calculation puts the uncorrected energy at -5.70 eV/atom. For the density of states at the Fermi level, the calculation gives 4.13 states/eV/f.u.

The structure belongs to space group P4/mmm (No. 123); the cell edges are 4.3879, 4.3879 and 3.8026 Å and the angles 90.00°, 90.00° and 90.00°. The asymmetric unit holds Ti at (0.0000, 0.0000, 0.0000), Te at (0.5000, 0.5000, 0.5000), O at (0.0000, 0.0000, 0.5000) and F at (0.0000, 0.5000, 0.0000).

***

# 6
## RbWC3 (PBE-GGA)

Data for RbWC3 after structural relaxation.

As for the polymorph energy (0 for the lowest one): 3.173 eV per atom. The value obtained for the calculated volume is 13.7 Å³ per atom. The calculation puts the uncorrected energy at -3.61 eV/atom. Its formation energy is 4.71 eV/atom. For the density of states at the Fermi level, the calculation gives 7.01 states/eV/f.u.

The structure belongs to space group Pm-3m (No. 221); the cell edges are 4.0877, 4.0877 and 4.0877 Å and the angles 90.00°, 90.00° and 90.00°. The asymmetric unit holds Rb at (0.0000, 0.0000, 0.0000), W at (0.5000, 0.5000, 0.5000) and C at (0.0000, 0.0000, 0.5000).

***

# 7
## Zr6P2N (PBE-GGA)

Data for Zr6P2N after structural relaxation.

For the uncorrected formation energy, the calculation gives -1.126 eV per atom. The value obtained for the calculated volume is 18.0 Å³ per atom. The calculation puts the uncorrected energy at -8.95 eV/atom. For the density of states at the Fermi level, the calculation gives 6.61 states/eV/f.u.

The structure belongs to space group C2/m (No. 12); the cell edges are 10.8662, 3.5199 and 8.4784 Å and the angles 90.00°, 91.13° and 90.00°. The asymmetric unit holds Zr at (0.0613, 0.0000, 0.2488), Zr at (0.1347, 0.5000, 0.5501), Zr at (0.1407, 0.5000, 0.9438), P at (0.2485, 0.0000, 0.7513) and N at (0.0000, 0.0000, 0.5000).

***

# 8
## Rb2Hf3I9 (PBE-GGA)

Data for Rb2Hf3I9 after structural relaxation.

For the uncorrected formation energy, the calculation gives -0.946 eV per atom. The value obtained for the calculated volume is 43.2 Å³ per atom. The calculation puts the uncorrected energy at -4.21 eV/atom. For the density of states at the Fermi level, the calculation gives 3.69 states/eV/f.u.

The structure belongs to space group C2/m (No. 12); the cell edges are 11.9598, 19.7188 and 11.3429 Å and the angles 90.00°, 115.21° and 90.00°. The asymmetric unit holds Rb at (0.1068, 0.1630, 0.3292), Hf at (0.1260, 0.4166, 0.1321), Hf at (0.1256, 0.5000, 0.8682), I at (0.0000, 0.2947, 0.0000), I at (0.0166, 0.3980, 0.3141), I at (0.1868, 0.0000, 0.6737), I at (0.1986, 0.1960, 0.6808), I at (0.2011, 0.1036, 0.9844) and I at (0.2258, 0.0000, 0.2902).

***

# 9
## InCu2SnSe4 (PBE-GGA)

Data for InCu2SnSe4 after structural relaxation.

For the uncorrected formation energy, the calculation gives -0.331 eV per atom. The value obtained for the calculated volume is 26.3 Å³ per atom. The calculation puts the uncorrected energy at -3.94 eV/atom. For the density of states at the Fermi level, the calculation gives 3.47 states/eV/f.u.

The structure belongs to space group I-42m (No. 121); the cell edges are 6.0198, 6.0198 and 11.6320 Å and the angles 90.00°, 90.00° and 90.00°. The asymmetric unit holds In at (0.0000, 0.0000, 0.0000), Cu at (0.0000, 0.5000, 0.2500), Sn at (0.0000, 0.0000, 0.5000) and Se at (0.2419, 0.2419, 0.1443).

***

# 10
## LiOsBr2 (PBE-GGA)

Data for LiOsBr2 after structural relaxation.

As for the polymorph energy (0 for the lowest one): 0.319 eV per atom. For the uncorrected formation energy, the calculation gives 0.404 eV per atom. The value obtained for the calculated volume is 17.3 Å³ per atom. The calculation puts the uncorrected energy at -3.72 eV/atom. For the density of states at the Fermi level, the calculation gives 2.64 states/eV/f.u.

The structure belongs to space group P4/mmm (No. 123); the cell edges are 4.6789, 4.6789 and 3.1695 Å and the angles 90.00°, 90.00° and 90.00°. The asymmetric unit holds Li at (0.0000, 0.0000, 0.0000), Os at (0.5000, 0.5000, 0.0000) and Br at (0.0000, 0.5000, 0.5000).

***

# 11
## TbScHg (PBE-GGA)

Data for TbScHg after structural relaxation.

As for the polymorph energy (0 for the lowest one): 0.215 eV per atom. The value obtained for the calculated volume is 28.8 Å³ per atom. The calculation puts the uncorrected energy at -3.84 eV/atom. Its formation energy is -0.08 eV/atom. For the density of states at the Fermi level, the calculation gives 3.29 states/eV/f.u.

The structure belongs to space group R-3m (No. 166, hexagonal axes); the cell edges are 4.9379, 4.9379 and 24.5923 Å and the angles 90.00°, 90.00° and 120.00°. The asymmetric unit holds Tb at (0.0000, 0.0000, 0.1214), Sc at (0.0000, 0.0000, 0.3709) and Hg at (0.0000, 0.0000, 0.2544).

***

# 12
## Ac3Ag2Te6 (PBE-GGA)

Data for Ac3Ag2Te6 after structural relaxation.

For the uncorrected formation energy, the calculation gives -0.956 eV per atom. The value obtained for the calculated volume is 35.1 Å³ per atom. The calculation puts the uncorrected energy at -4.31 eV/atom. For the density of states at the Fermi level, the calculation gives 2.15 states/eV/f.u.

The structure belongs to space group I4/mmm (No. 139); the cell edges are 5.3794, 5.3794 and 26.6865 Å and the angles 90.00°, 90.00° and 90.00°. The asymmetric unit holds Ac at (0.0000, 0.0000, 0.0000), Ac at (0.0000, 0.0000, 0.1678), Ag at (0.0000, 0.0000, 0.3950), Te at (0.0000, 0.0000, 0.2898) and Te at (0.0000, 0.5000, 0.0797).